Entry 1:
Li8Pt3 PBE relaxed; calculated volume = 14.0 Å³ per atom; space group = C2/m (12); total magnetic moment = 0.0 μB/cell; N(E_F) = 0.204 states/eV per atom; density = 6916 kg/m³; energy of formation from the pure elements = -0.452 eV per atom; calculated total energy = -3.4914 eV/atom
1.0
3.715 -2.121 0.000
3.715 2.121 0.000
-2.691 0.000 9.762
Li Pt
8 3
Cartesian
-0.058 0.000 2.620
-0.121 0.000 5.255
-0.168 0.000 7.933
2.459 0.000 0.865
2.281 0.000 8.896
4.909 0.000 1.829
4.861 0.000 4.507
4.798 0.000 7.142
0.000 0.000 0.000
2.401 0.000 3.542
2.339 0.000 6.220

---

Entry 2:
Ta2GaGe2 PBE relaxed; calculated volume = 17.6 Å³ per atom; space group = P4/mbm (127); total magnetic moment = 0.0 μB/cell; N(E_F) = 0.433 states/eV per atom; density = 10861 kg/m³; energy above the most stable polymorph in this dataset = 0.000 eV/atom; energy of formation from the pure elements = -0.080 eV per atom; calculated total energy = -7.2737 eV/atom
1.0
7.037 0.000 0.000
0.000 7.037 0.000
0.000 0.000 3.562
Ta Ga Ge
4 2 4
Cartesian
1.068 2.450 0.000
2.450 5.969 0.000
4.587 1.068 0.000
5.969 4.587 0.000
0.000 0.000 0.000
3.519 3.519 0.000
1.022 4.540 1.781
2.497 1.022 1.781
4.540 6.015 1.781
6.015 2.497 1.781

---

Entry 3:
Cr2NiSb PBE relaxed; calculated volume = 14.0 Å³ per atom; space group = C2/m (12); total magnetic moment = 0.0 μB/cell; raw formation energy = 0.25 eV per atom; N(E_F) = 0.943 states/eV per atom; density = 8420 kg/m³; calculated total energy = -7.0386 eV/atom
1.0
4.429 -1.584 0.000
4.429 1.584 0.000
-1.137 0.000 3.999
Cr Ni Sb
2 1 1
Cartesian
1.945 0.000 0.776
5.776 0.000 3.223
4.429 0.000 0.000
-0.569 0.000 1.999

---

Entry 4:
Zr2TaTl PBE relaxed; calculated volume = 21.6 Å³ per atom; space group = Cmmm (65); total magnetic moment = 0.0 μB/cell; N(E_F) = 1.264 states/eV per atom; density = 10895 kg/m³; energy above the most stable polymorph in this dataset = 0.109 eV/atom; energy of formation from the pure elements = 0.106 eV per atom; calculated total energy = -7.7231 eV/atom
1.0
3.284 -4.109 0.000
3.284 4.109 0.000
0.000 0.000 3.207
Zr Ta Tl
2 1 1
Cartesian
1.642 2.055 0.000
1.642 -2.055 0.000
0.000 0.000 1.603
3.284 0.000 1.603

---

Entry 5:
ErMgSn2 PBE relaxed; calculated volume = 28.3 Å³ per atom; space group = R3m (160); total magnetic moment = 0.0 μB/cell; N(E_F) = 0.437 states/eV per atom; density = 6297 kg/m³; energy of formation from the pure elements = -0.310 eV per atom; calculated total energy = -3.8511 eV/atom
1.0
2.266 1.308 6.360
-2.266 1.308 6.360
0.000 -2.617 6.360
Er Mg Sn
1 1 2
Cartesian
0.000 0.000 0.000
0.000 0.000 3.423
0.000 0.000 8.160
0.000 0.000 11.122

---

Entry 6:
PmIn2Rh2 PBE relaxed; calculated volume = 20.6 Å³ per atom; space group = C2/m (12); total magnetic moment = 0.0 μB/cell; N(E_F) = 0.407 states/eV per atom; density = 9350 kg/m³; energy of formation from the pure elements = -0.515 eV per atom; calculated total energy = -5.5010 eV/atom
1.0
4.689 -2.375 0.000
4.689 2.375 0.000
-3.913 0.000 4.629
Pm In Rh
1 2 2
Cartesian
0.000 0.000 0.000
-0.874 0.000 3.238
6.339 0.000 1.391
3.570 0.000 1.328
1.894 0.000 3.301

---

Question: Which of these has the lowest density?
Answer: ErMgSn2

---

Question: What is the formula in the first record?
Answer: Li8Pt3